<1>
This record from the Alexandria database describes a geometry-optimized LaB2Cl structure. The functional is PBE.

The space group is Fm-3m (No. 225) and the conventional cell measures 6.5595, 6.5595 and 6.5595 Å, with angles of 90.00, 90.00 and 90.00 degrees. Symmetry generates all atoms from La at (0.0000, 0.0000, 0.0000), B at (0.2500, 0.2500, 0.2500) and Cl at (0.0000, 0.0000, 0.5000).

The calculation puts the total magnetization at 0.000 μB/f.u.

=====

<2>
This record from the Alexandria database describes a geometry-optimized LaB2Cl structure. The functional is PBE.

The space group is I-42d (No. 122) and the conventional cell measures 6.5399, 6.5399 and 6.6008 Å, with angles of 90.00, 90.00 and 90.00 degrees. Symmetry generates all atoms from La at (0.0000, 0.0000, 0.0000), B at (0.1711, 0.2500, 0.6250) and Cl at (0.0000, 0.0000, 0.5000).

The calculation puts the total magnetization at 0.000 μB/f.u.

=====

Which of them is least stable? Easy: <2>.

=====

<1>
This record from the Alexandria database describes a geometry-optimized LaBP2Cl structure. The functional is PBE.

The space group is P4/mmm (No. 123) and the conventional cell measures 5.6742, 5.6742 and 5.4690 Å, with angles of 90.00, 90.00 and 90.00 degrees. Symmetry generates all atoms from La at (0.0000, 0.0000, 0.0000), B at (0.5000, 0.5000, 0.5000), P at (0.0000, 0.5000, 0.0000) and Cl at (0.0000, 0.0000, 0.5000).

The calculation puts the total magnetization at 1.458 μB/f.u.

=====

<2>
This record from the Alexandria database describes a geometry-optimized LaBP2Cl structure. The functional is PBE.

The space group is P4/mmm (No. 123) and the conventional cell measures 5.5577, 5.5577 and 5.4229 Å, with angles of 90.00, 90.00 and 90.00 degrees. Symmetry generates all atoms from La at (0.0000, 0.0000, 0.0000), B at (0.0000, 0.0000, 0.5000), P at (0.0000, 0.5000, 0.0000) and Cl at (0.5000, 0.5000, 0.5000).

The calculation puts the total magnetization at 1.506 μB/f.u.

=====

Which of them is least stable? Easy: <2>.

=====

<1>
This record from the Alexandria database describes a geometry-optimized LaBSCl2 structure. The functional is PBE.

The space group is P4/mmm (No. 123) and the conventional cell measures 5.5225, 5.5225 and 5.6190 Å, with angles of 90.00, 90.00 and 90.00 degrees. Symmetry generates all atoms from La at (0.0000, 0.0000, 0.0000), B at (0.5000, 0.5000, 0.5000), S at (0.0000, 0.0000, 0.5000) and Cl at (0.0000, 0.5000, 0.0000).

The calculation puts the total magnetization at 0.000 μB/f.u.

=====

<2>
This record from the Alexandria database describes a geometry-optimized LaBSCl2 structure. The functional is PBE.

The space group is P4/mmm (No. 123) and the conventional cell measures 4.5941, 4.5941 and 4.4606 Å, with angles of 90.00, 90.00 and 90.00 degrees. Symmetry generates all atoms from La at (0.0000, 0.0000, 0.0000), B at (0.5000, 0.5000, 0.5000), S at (0.5000, 0.5000, 0.0000) and Cl at (0.0000, 0.5000, 0.5000).

The calculation puts the total magnetization at 0.041 μB/f.u.

=====

Which of them is least stable? Easy: <1>.

=====

<1>
This record from the Alexandria database describes a geometry-optimized LiB3Cl structure. The functional is PBE.

The space group is Pm-3m (No. 221) and the conventional cell measures 3.9886, 3.9886 and 3.9886 Å, with angles of 90.00, 90.00 and 90.00 degrees. Symmetry generates all atoms from Li at (0.0000, 0.0000, 0.0000), B at (0.0000, 0.5000, 0.5000) and Cl at (0.5000, 0.5000, 0.5000).

The calculation puts the total magnetization at 0.000 μB/f.u.

=====

<2>
This record from the Alexandria database describes a geometry-optimized LiB3Cl structure. The functional is PBE.

The space group is Pm-3m (No. 221) and the conventional cell measures 4.0754, 4.0754 and 4.0754 Å, with angles of 90.00, 90.00 and 90.00 degrees. Symmetry generates all atoms from Li at (0.0000, 0.0000, 0.0000), B at (0.0000, 0.0000, 0.5000) and Cl at (0.5000, 0.5000, 0.5000).

The calculation puts the total magnetization at 0.000 μB/f.u.

=====

Which of them is least stable? Easy: <1>.

=====

<1>
This record from the Alexandria database describes a geometry-optimized LiBCl2 structure. The functional is PBE.

The space group is Fm-3m (No. 225) and the conventional cell measures 6.5750, 6.5750 and 6.5750 Å, with angles of 90.00, 90.00 and 90.00 degrees. Symmetry generates all atoms from Li at (0.0000, 0.0000, 0.0000), B at (0.0000, 0.0000, 0.5000) and Cl at (0.2500, 0.2500, 0.2500).

The calculation puts the total magnetization at 0.000 μB/f.u.

=====

<2>
This record from the Alexandria database describes a geometry-optimized LiBCl2 structure. The functional is PBE.

The space group is R-3m (No. 166, hexagonal axes) and the conventional cell measures 3.3013, 3.3013 and 20.4998 Å, with angles of 90.00, 90.00 and 120.00 degrees. Symmetry generates all atoms from Li at (0.0000, 0.0000, 0.0000), B at (0.0000, 0.0000, 0.5000) and Cl at (0.0000, 0.0000, 0.4067).

The calculation puts the total magnetization at 0.000 μB/f.u.

=====

<3>
This record from the Alexandria database describes a geometry-optimized LiBCl2 structure. The functional is PBE.

The space group is I-42d (No. 122) and the conventional cell measures 5.6644, 5.6644 and 11.6494 Å, with angles of 90.00, 90.00 and 90.00 degrees. Symmetry generates all atoms from Li at (0.0000, 0.0000, 0.0000), B at (0.0000, 0.0000, 0.5000) and Cl at (0.2308, 0.2500, 0.1250).

The calculation puts the total magnetization at 0.000 μB/f.u.

=====

Which of them is least stable? Easy: <1>.

=====

<1>
This record from the Alexandria database describes a geometry-optimized LiBPCl2 structure. The functional is PBE.

The space group is P4/mmm (No. 123) and the conventional cell measures 4.6483, 4.6483 and 4.9643 Å, with angles of 90.00, 90.00 and 90.00 degrees. Symmetry generates all atoms from Li at (0.0000, 0.0000, 0.0000), B at (0.5000, 0.5000, 0.5000), P at (0.0000, 0.0000, 0.5000) and Cl at (0.0000, 0.5000, 0.0000).

The calculation puts the total magnetization at 2.608 μB/f.u.

=====

<2>
This record from the Alexandria database describes a geometry-optimized LiBPCl2 structure. The functional is PBE.

The space group is P4/mmm (No. 123) and the conventional cell measures 5.2846, 5.2846 and 3.5528 Å, with angles of 90.00, 90.00 and 90.00 degrees. Symmetry generates all atoms from Li at (0.0000, 0.0000, 0.0000), B at (0.5000, 0.5000, 0.5000), P at (0.5000, 0.5000, 0.0000) and Cl at (0.0000, 0.5000, 0.5000).

The calculation puts the total magnetization at 0.480 μB/f.u.

=====

Which of them is least stable? Easy: <1>.

=====

<1>
This record from the Alexandria database describes a geometry-optimized LiBS2Cl structure. The functional is PBE.

The space group is P4/mmm (No. 123) and the conventional cell measures 4.1087, 4.1087 and 6.8290 Å, with angles of 90.00, 90.00 and 90.00 degrees. Symmetry generates all atoms from Li at (0.0000, 0.0000, 0.0000), B at (0.5000, 0.5000, 0.5000), S at (0.0000, 0.5000, 0.0000) and Cl at (0.0000, 0.0000, 0.5000).

The calculation puts the total magnetization at 0.000 μB/f.u.

=====

<2>
This record from the Alexandria database describes a geometry-optimized LiBS2Cl structure. The functional is PBE.

The space group is P4/mmm (No. 123) and the conventional cell measures 3.8821, 3.8821 and 7.4477 Å, with angles of 90.00, 90.00 and 90.00 degrees. Symmetry generates all atoms from Li at (0.0000, 0.0000, 0.0000), B at (0.5000, 0.5000, 0.5000), S at (0.0000, 0.5000, 0.5000) and Cl at (0.5000, 0.5000, 0.0000).

The calculation puts the total magnetization at 0.000 μB/f.u.

=====

Which of them is least stable? Easy: <1>.

=====

<1>
This record from the Alexandria database describes a geometry-optimized Mg2BCl structure. The functional is PBE.

The space group is I-42d (No. 122) and the conventional cell measures 6.1156, 6.1156 and 9.2176 Å, with angles of 90.00, 90.00 and 90.00 degrees. Symmetry generates all atoms from Mg at (0.2064, 0.2500, 0.1250), B at (0.0000, 0.0000, 0.0000) and Cl at (0.0000, 0.0000, 0.5000).

The calculation puts the total magnetization at 0.000 μB/f.u.

=====

<2>
This record from the Alexandria database describes a geometry-optimized Mg2BCl structure. The functional is PBE.

The space group is Fm-3m (No. 225) and the conventional cell measures 6.5031, 6.5031 and 6.5031 Å, with angles of 90.00, 90.00 and 90.00 degrees. Symmetry generates all atoms from Mg at (0.2500, 0.2500, 0.2500), B at (0.0000, 0.0000, 0.0000) and Cl at (0.0000, 0.0000, 0.5000).

The calculation puts the total magnetization at 1.990 μB/f.u.

=====

Which of them is least stable? Easy: <2>.

=====

<1>
This record from the Alexandria database describes a geometry-optimized MgB2Cl structure. The functional is PBE.

The space group is I-42d (No. 122) and the conventional cell measures 5.7278, 5.7278 and 7.3014 Å, with angles of 90.00, 90.00 and 90.00 degrees. Symmetry generates all atoms from Mg at (0.0000, 0.0000, 0.0000), B at (0.2044, 0.2500, 0.6250) and Cl at (0.0000, 0.0000, 0.5000).

The calculation puts the total magnetization at 0.226 μB/f.u.

=====

<2>
This record from the Alexandria database describes a geometry-optimized MgB2Cl structure. The functional is PBE.

The space group is Fm-3m (No. 225) and the conventional cell measures 6.1968, 6.1968 and 6.1968 Å, with angles of 90.00, 90.00 and 90.00 degrees. Symmetry generates all atoms from Mg at (0.0000, 0.0000, 0.0000), B at (0.2500, 0.2500, 0.2500) and Cl at (0.0000, 0.0000, 0.5000).

The calculation puts the total magnetization at 0.000 μB/f.u.

=====

Which of them is least stable? Easy: <2>.

=====

<1>
This record from the Alexandria database describes a geometry-optimized MgB3Cl structure. The functional is PBE.

The space group is Pm-3m (No. 221) and the conventional cell measures 4.5544, 4.5544 and 4.5544 Å, with angles of 90.00, 90.00 and 90.00 degrees. Symmetry generates all atoms from Mg at (0.0000, 0.0000, 0.0000), B at (0.0000, 0.0000, 0.5000) and Cl at (0.5000, 0.5000, 0.5000).

The calculation puts the total magnetization at 0.000 μB/f.u.

=====

<2>
This record from the Alexandria database describes a geometry-optimized MgB3Cl structure. The functional is PBE.

The space group is Pm-3m (No. 221) and the conventional cell measures 4.0075, 4.0075 and 4.0075 Å, with angles of 90.00, 90.00 and 90.00 degrees. Symmetry generates all atoms from Mg at (0.0000, 0.0000, 0.0000), B at (0.0000, 0.5000, 0.5000) and Cl at (0.5000, 0.5000, 0.5000).

The calculation puts the total magnetization at 0.000 μB/f.u.

=====

Which of them is least stable? Easy: <1>.